Material: NaTiCoF6
Method: DFT, PBE+U
State: relaxed

Calculated values
Magnetic moment, μB/f.u.: 3.83
Theoretical density, g/cm3: 3.287
E_tot, eV per atom: -5.631
SG: P-31c (163)

Cell lengths 5.426, 5.426, 9.659 Å; angles 90.00, 90.00, 120.00 degrees
Element x y z (fractional)
Na1 0.000 0.000 0.000
Na2 0.000 0.000 0.500
Ti1 0.333 0.667 0.250
Ti2 0.667 0.333 0.750
Co1 0.333 0.667 0.750
Co2 0.667 0.333 0.250
F1 0.012 0.364 0.142
F2 0.012 0.648 0.358
F3 0.352 0.364 0.358
F4 0.352 0.988 0.142
F5 0.364 0.012 0.642
F6 0.364 0.352 0.858
F7 0.636 0.648 0.142
F8 0.636 0.988 0.358
F9 0.648 0.012 0.858
F10 0.648 0.636 0.642
F11 0.988 0.352 0.642
F12 0.988 0.636 0.858